## DyHo5Al2 (PBE)

Data for a geometry-optimized DyHo5Al2 structure.

Cell: 8.221 8.221 8.221 Å, 155.37 103.25 82.06°
Positions (direct):
Dy1 0.000 0.000 0.000
Ho1 0.137 0.363 0.774
Ho2 0.410 0.637 0.774
Ho3 0.500 0.000 0.500
Ho4 0.590 0.363 0.226
Ho5 0.863 0.637 0.226
Al1 0.240 0.740 0.500
Al2 0.760 0.260 0.500

Calculated values
ΔH_f (0 K): -0.091 eV/atom
crystal system: orthorhombic
V: 222.05 Å³/cell
total DFT energy (no corrections): -4.463 eV/atom
total magnetization: 0.003 μB per cell


## Dy2Ho6Al (PBE)

Data for a geometry-optimized Dy2Ho6Al structure.

Cell: 9.817 10.180 5.333 Å, 90.00 90.00 90.00°
Positions (direct):
Dy1 0.197 0.236 0.000
Dy2 0.303 0.736 0.500
Dy3 0.697 0.264 0.500
Dy4 0.803 0.764 0.000
Ho1 0.023 0.314 0.500
Ho2 0.133 0.891 0.000
Ho3 0.185 0.563 0.000
Ho4 0.315 0.063 0.500
Ho5 0.367 0.391 0.500
Ho6 0.477 0.814 0.000
Ho7 0.523 0.186 0.000
Ho8 0.633 0.609 0.500
Ho9 0.685 0.937 0.500
Ho10 0.815 0.437 0.000
Ho11 0.867 0.109 0.000
Ho12 0.977 0.686 0.500
Al1 0.000 0.000 0.500
Al2 0.500 0.500 0.000

Calculated values
ΔH_f (0 K): -0.006 eV/atom
crystal system: orthorhombic
V: 533.00 Å³/cell
total DFT energy (no corrections): -4.496 eV/atom
total magnetization: 0.001 μB per cell